# CrAg3 GGA-PBEsol relaxed
# Calculated formation energy = 354 meV per atom
# Magnetic moment = 4.26 μB/cell
data_CrAg3
_chemical_formula_sum 'Cr1 Ag3'
_cell_length_a 2.952
_cell_length_b 4.617
_cell_length_c 4.815
_cell_angle_alpha 90.00
_cell_angle_beta 90.00
_cell_angle_gamma 90.00
_space_group_name_H-M_alt 'P m m 2'
_space_group_IT_number 25
_space_group_name_Hall 'P 2 -2'
loop_
_atom_site_label
_atom_site_fract_x
_atom_site_fract_y
_atom_site_fract_z
Cr1 0.000 0.000 0.000
Ag1 0.000 0.500 0.652
Ag2 0.500 0.000 0.498
Ag3 0.500 0.500 0.148

---

# CrAg2 GGA-PBEsol relaxed
# Calculated formation energy = 570 meV per atom
# Magnetic moment = 15.52 μB/cell
data_CrAg2
_chemical_formula_sum 'Cr4 Ag8'
_cell_length_a 2.818
_cell_length_b 2.818
_cell_length_c 25.415
_cell_angle_alpha 90.00
_cell_angle_beta 90.00
_cell_angle_gamma 90.00
_space_group_name_H-M_alt 'I 41/a m d'
_space_group_IT_number 141
loop_
_space_group_symop_operation_xyz
'x,y,z'
'-x,-y,-z'
'-y+1/4,x+3/4,z+1/4'
'y+1/4,-x+3/4,-z+1/4'
'-x+1/2,-y,z+1/2'
'x+1/2,y,-z+1/2'
'y+1/4,-x+1/4,z+3/4'
'-y+1/4,x+1/4,-z+3/4'
'x,-y,-z'
'-x,y,z'
'-y+1/4,-x+1/4,-z+3/4'
'y+1/4,x+1/4,z+3/4'
'-x+1/2,y,-z+1/2'
'x+1/2,-y,z+1/2'
'y+1/4,x+3/4,-z+1/4'
'-y+1/4,-x+3/4,z+1/4'
'x+1/2,y+1/2,z+1/2'
'-x+1/2,-y+1/2,-z+1/2'
'-y+3/4,x+1/4,z+3/4'
'y+3/4,-x+1/4,-z+3/4'
'-x,-y+1/2,z'
'x,y+1/2,-z'
'y+3/4,-x+3/4,z+1/4'
'-y+3/4,x+3/4,-z+1/4'
'x+1/2,-y+1/2,-z+1/2'
'-x+1/2,y+1/2,z+1/2'
'-y+3/4,-x+3/4,-z+1/4'
'y+3/4,x+3/4,z+1/4'
'-x,y+1/2,-z'
'x,-y+1/2,z'
'y+3/4,x+1/4,-z+3/4'
'-y+3/4,-x+1/4,z+3/4'
loop_
_atom_site_label
_atom_site_fract_x
_atom_site_fract_y
_atom_site_fract_z
Cr1 0.000 0.250 0.375
Ag1 0.000 0.250 0.798

---

# CrCuAg2 GGA-PBEsol relaxed
# Calculated formation energy = 391 meV per atom
# Magnetic moment = 4.00 μB/cell
# Relative energy among the computed polymorphs = 32 meV/atom
data_CrCuAg2
_chemical_formula_sum 'Cr1 Cu1 Ag2'
_cell_length_a 2.909
_cell_length_b 3.647
_cell_length_c 5.657
_cell_angle_alpha 90.00
_cell_angle_beta 90.00
_cell_angle_gamma 90.00
_space_group_name_H-M_alt 'P m m m'
_space_group_IT_number 47
_space_group_name_Hall '-P 2 2'
loop_
_atom_site_label
_atom_site_fract_x
_atom_site_fract_y
_atom_site_fract_z
Cr1 0.000 0.000 0.000
Cu1 0.000 0.000 0.500
Ag1 0.500 0.500 0.258

---

# CrCuAg2 GGA-PBEsol relaxed
# Calculated formation energy = 359 meV per atom
# Magnetic moment = 3.70 μB/cell
# Relative energy among the computed polymorphs = 0 meV/atom
data_CrCuAg2
_chemical_formula_sum 'Cr1 Cu1 Ag2'
_cell_length_a 3.085
_cell_length_b 3.085
_cell_length_c 6.253
_cell_angle_alpha 90.00
_cell_angle_beta 90.00
_cell_angle_gamma 90.00
_space_group_name_H-M_alt 'P 4 m m'
_space_group_IT_number 99
_space_group_name_Hall 'P 4 -2'
loop_
_atom_site_label
_atom_site_fract_x
_atom_site_fract_y
_atom_site_fract_z
Cr1 0.000 0.000 0.000
Cu1 0.500 0.500 0.213
Ag1 0.000 0.000 0.454
Ag2 0.500 0.500 0.737

---

# MnCr2AgF GGA-PBEsol relaxed
# Energy relative to the elements, uncorrected = 1309 meV per atom
# Magnetic moment = 14.00 μB/cell
data_MnCr2AgF
_chemical_formula_sum 'Mn1 Cr2 Ag1 F1'
_cell_length_a 5.100
_cell_length_b 5.100
_cell_length_c 4.084
_cell_angle_alpha 90.00
_cell_angle_beta 90.00
_cell_angle_gamma 90.00
_space_group_name_H-M_alt 'P 4/m m m'
_space_group_IT_number 123
_space_group_name_Hall '-P 4 2'
loop_
_atom_site_label
_atom_site_fract_x
_atom_site_fract_y
_atom_site_fract_z
Mn1 0.000 0.000 0.000
Cr1 0.000 0.500 0.500
Ag1 0.500 0.500 0.500
F1 0.500 0.500 0.000

---

# Cr2AgPtF GGA-PBEsol relaxed
# Energy relative to the elements, uncorrected = 1394 meV per atom
# Magnetic moment = 8.91 μB/cell
data_Cr2AgPtF
_chemical_formula_sum 'Cr2 Ag1 Pt1 F1'
_cell_length_a 4.968
_cell_length_b 4.968
_cell_length_c 4.769
_cell_angle_alpha 90.00
_cell_angle_beta 90.00
_cell_angle_gamma 90.00
_space_group_name_H-M_alt 'P 4/m m m'
_space_group_IT_number 123
_space_group_name_Hall '-P 4 2'
loop_
_atom_site_label
_atom_site_fract_x
_atom_site_fract_y
_atom_site_fract_z
Cr1 0.000 0.500 0.000
Ag1 0.000 0.000 0.000
Pt1 0.000 0.000 0.500
F1 0.500 0.500 0.500

---

# CrFeAg4 GGA-PBEsol relaxed
# Calculated formation energy = 715 meV per atom
# Magnetic moment = 30.02 μB/cell
data_CrFeAg4
_chemical_formula_sum 'Cr4 Fe4 Ag16'
_cell_length_a 7.452
_cell_length_b 7.452
_cell_length_c 7.452
_cell_angle_alpha 90.00
_cell_angle_beta 90.00
_cell_angle_gamma 90.00
_space_group_name_H-M_alt 'F -4 3 m'
_space_group_IT_number 216
_space_group_name_Hall 'F -4 2 3'
loop_
_atom_site_label
_atom_site_fract_x
_atom_site_fract_y
_atom_site_fract_z
Cr1 0.000 0.000 0.000
Fe1 0.250 0.250 0.750
Ag1 0.125 0.125 0.375

---

# Cr3GaAg GGA-PBEsol relaxed
# Calculated formation energy = 1370 meV per atom
# Magnetic moment = 11.93 μB/cell
data_Cr3GaAg
_chemical_formula_sum 'Cr3 Ga1 Ag1'
_cell_length_a 4.661
_cell_length_b 4.661
_cell_length_c 4.661
_cell_angle_alpha 90.00
_cell_angle_beta 90.00
_cell_angle_gamma 90.00
_space_group_name_H-M_alt 'P m -3 m'
_space_group_IT_number 221
_space_group_name_Hall '-P 4 2 3'
loop_
_atom_site_label
_atom_site_fract_x
_atom_site_fract_y
_atom_site_fract_z
Cr1 0.000 0.000 0.500
Ga1 0.000 0.000 0.000
Ag1 0.500 0.500 0.500

---

# CrAgGe2 GGA-PBEsol relaxed
# Calculated formation energy = 342 meV per atom
# Magnetic moment = 14.74 μB/cell
data_CrAgGe2
_chemical_formula_sum 'Cr4 Ag4 Ge8'
_cell_length_a 6.381
_cell_length_b 6.381
_cell_length_c 6.381
_cell_angle_alpha 90.00
_cell_angle_beta 90.00
_cell_angle_gamma 90.00
_space_group_name_H-M_alt 'F m -3 m'
_space_group_IT_number 225
_space_group_name_Hall '-F 4 2 3'
loop_
_atom_site_label
_atom_site_fract_x
_atom_site_fract_y
_atom_site_fract_z
Cr1 0.000 0.000 0.000
Ag1 0.000 0.000 0.500
Ge1 0.250 0.250 0.250

---

# CrAg3Ge GGA-PBEsol relaxed
# Calculated formation energy = 1264 meV per atom
# Magnetic moment = 4.43 μB/cell
data_CrAg3Ge
_chemical_formula_sum 'Cr1 Ag3 Ge1'
_cell_length_a 4.836
_cell_length_b 4.836
_cell_length_c 4.836
_cell_angle_alpha 90.00
_cell_angle_beta 90.00
_cell_angle_gamma 90.00
_space_group_name_H-M_alt 'P m -3 m'
_space_group_IT_number 221
_space_group_name_Hall '-P 4 2 3'
loop_
_atom_site_label
_atom_site_fract_x
_atom_site_fract_y
_atom_site_fract_z
Cr1 0.000 0.000 0.000
Ag1 0.000 0.000 0.500
Ge1 0.500 0.500 0.500

---

# Cr3AgH GGA-PBEsol relaxed
# Total energy = -7.085 eV/atom
# Magnetic moment = 0.00 μB/cell
data_Cr3AgH
_chemical_formula_sum 'Cr3 Ag1 H1'
_cell_length_a 3.721
_cell_length_b 3.721
_cell_length_c 3.721
_cell_angle_alpha 90.00
_cell_angle_beta 90.00
_cell_angle_gamma 90.00
_space_group_name_H-M_alt 'P m -3 m'
_space_group_IT_number 221
_space_group_name_Hall '-P 4 2 3'
loop_
_atom_site_label
_atom_site_fract_x
_atom_site_fract_y
_atom_site_fract_z
Cr1 0.000 0.000 0.500
Ag1 0.500 0.500 0.500
H1 0.000 0.000 0.000

---

# Cr2AgHPb GGA-PBEsol relaxed
# Total energy = -4.354 eV/atom
# Magnetic moment = 9.64 μB/cell
data_Cr2AgHPb
_chemical_formula_sum 'Cr2 Ag1 H1 Pb1'
_cell_length_a 5.287
_cell_length_b 5.287
_cell_length_c 5.277
_cell_angle_alpha 90.00
_cell_angle_beta 90.00
_cell_angle_gamma 90.00
_space_group_name_H-M_alt 'P 4/m m m'
_space_group_IT_number 123
_space_group_name_Hall '-P 4 2'
loop_
_atom_site_label
_atom_site_fract_x
_atom_site_fract_y
_atom_site_fract_z
Cr1 0.000 0.500 0.000
Ag1 0.000 0.000 0.500
H1 0.500 0.500 0.500
Pb1 0.000 0.000 0.000

---

# Hf3CrAg GGA-PBEsol relaxed
# Calculated formation energy = 672 meV per atom
# Magnetic moment = 0.00 μB/cell
data_Hf3CrAg
_chemical_formula_sum 'Hf3 Cr1 Ag1'
_cell_length_a 4.724
_cell_length_b 4.724
_cell_length_c 4.724
_cell_angle_alpha 90.00
_cell_angle_beta 90.00
_cell_angle_gamma 90.00
_space_group_name_H-M_alt 'P m -3 m'
_space_group_IT_number 221
_space_group_name_Hall '-P 4 2 3'
loop_
_atom_site_label
_atom_site_fract_x
_atom_site_fract_y
_atom_site_fract_z
Hf1 0.000 0.000 0.500
Cr1 0.000 0.000 0.000
Ag1 0.500 0.500 0.500

---

# CrAgHg2 GGA-PBEsol relaxed
# Calculated formation energy = 277 meV per atom
# Magnetic moment = 3.75 μB/cell
data_CrAgHg2
_chemical_formula_sum 'Cr1 Ag1 Hg2'
_cell_length_a 3.202
_cell_length_b 3.202
_cell_length_c 7.041
_cell_angle_alpha 90.00
_cell_angle_beta 90.00
_cell_angle_gamma 90.00
_space_group_name_H-M_alt 'P 4/m m m'
_space_group_IT_number 123
_space_group_name_Hall '-P 4 2'
loop_
_atom_site_label
_atom_site_fract_x
_atom_site_fract_y
_atom_site_fract_z
Cr1 0.000 0.000 0.000
Ag1 0.000 0.000 0.500
Hg1 0.500 0.500 0.243

---

# Cr3AgHg GGA-PBEsol relaxed
# Calculated formation energy = 1762 meV per atom
# Magnetic moment = 13.10 μB/cell
data_Cr3AgHg
_chemical_formula_sum 'Cr3 Ag1 Hg1'
_cell_length_a 4.996
_cell_length_b 4.996
_cell_length_c 4.996
_cell_angle_alpha 90.00
_cell_angle_beta 90.00
_cell_angle_gamma 90.00
_space_group_name_H-M_alt 'P m -3 m'
_space_group_IT_number 221
_space_group_name_Hall '-P 4 2 3'
loop_
_atom_site_label
_atom_site_fract_x
_atom_site_fract_y
_atom_site_fract_z
Cr1 0.000 0.000 0.500
Ag1 0.500 0.500 0.500
Hg1 0.000 0.000 0.000

---

Going through the records in order, we get V values of 66, 202, 60, 60, 106, 118, 414, 101, 260, 113, 52, 147, 105, 72, 125 Å³ per cell.